(1)
This record from Alexandria describes a relaxed structure of MnCo2Pt. The functional is PBE.

Summary:
SG = P4mm
DOS at the Fermi energy = 2.900 states/eV/f.u.
Spin magnetization = 7.2 Bohr magnetons per cell
Calculated formation energy = -60.4 meV per atom

Cell lengths 2.730, 2.730, 6.929 Å; angles 90.00, 90.00, 90.00 degrees
Site moments in Bohr magnetons follow the coordinates.
Fractional coordinates of all 4 atoms:
1 Mn 0.000 0.000 0.479  3.38
2 Pt 0.500 0.500 0.758  0.20
3 Co 0.000 0.000 0.028  1.84
4 Co 0.500 0.500 0.236  1.72

=====

(2)
This record from Alexandria describes a relaxed structure of CaSb. The functional is PBE.

Summary:
SG = Immm
DOS at the Fermi energy = 0.462 states/eV/f.u.
Spin magnetization = 0.0 Bohr magnetons per cell
Raw formation energy = -0.82 eV per atom

Cell lengths 6.528, 8.886, 4.684 Å; angles 90.00, 90.00, 90.00 degrees
Fractional coordinates of all 8 atoms:
1 Ca 0.000 0.699 0.500
2 Ca 0.500 0.801 0.000
3 Ca 0.500 0.199 0.000
4 Ca 0.000 0.301 0.500
5 Sb 0.271 0.000 0.500
6 Sb 0.229 0.500 0.000
7 Sb 0.771 0.500 0.000
8 Sb 0.729 0.000 0.500

=====

(3)
This record from Alexandria describes a relaxed structure of Sr2VCrIr. The functional is PBE.

Summary:
SG = P4/mmm
DOS at the Fermi energy = 3.839 states/eV/f.u.
Spin magnetization = 0.0 Bohr magnetons per cell
Calculated formation energy = 1228.3 meV per atom

Cell lengths 5.698, 3.992, 5.698 Å; angles 90.00, 90.00, 90.00 degrees
Fractional coordinates of all 5 atoms:
1 V 0.000 0.500 0.000
2 Ir 0.500 0.500 0.500
3 Cr 0.000 0.000 0.000
4 Sr 0.500 0.000 0.000
5 Sr 0.000 0.000 0.500

=====

(4)
This record from Alexandria describes a relaxed structure of LiIn3Re. The functional is PBE.

Summary:
Energy above the most stable polymorph in this dataset = 3.942 eV/f.u.
SG = Pm-3m
DOS at the Fermi energy = 2.564 states/eV/f.u.
Spin magnetization = 3.2 Bohr magnetons per cell
Calculated formation energy = 1117.2 meV per atom

Cell lengths 4.805, 4.805, 4.805 Å; angles 90.00, 90.00, 90.00 degrees
Site moments in Bohr magnetons follow the coordinates.
Fractional coordinates of all 5 atoms:
1 Re 0.500 0.500 0.500  2.76
2 In 0.500 0.000 0.000  -0.03
3 In 0.000 0.500 0.000  -0.03
4 In 0.000 0.000 0.500  0.03
5 Li 0.000 0.000 0.000  0.07

=====

(5)
This record from Alexandria describes a relaxed structure of Ac6InIr. The functional is PBE.

Summary:
SG = C2/m
DOS at the Fermi energy = 10.439 states/eV/f.u.
Spin magnetization = 0.0 Bohr magnetons per cell
Calculated formation energy = -193.2 meV per atom

Cell lengths 7.204, 8.451, 7.104 Å; angles 53.50, 81.91, 76.31 degrees
Fractional coordinates of all 8 atoms:
1 Ac 0.220 0.459 0.359
2 Ac 0.780 0.182 0.359
3 Ac 0.220 0.818 0.641
4 Ac 0.657 0.783 0.000
5 Ac 0.343 0.217 0.000
6 Ac 0.780 0.541 0.641
7 In 0.000 0.000 0.000
8 Ir 0.500 0.500 0.000

=====

(6)
This record from Alexandria describes a relaxed structure of PuAl4Sb. The functional is PBE.

Summary:
SG = F-43m
DOS at the Fermi energy = 14.908 states/eV/f.u.
Spin magnetization = 6.8 Bohr magnetons per cell
Raw formation energy = -0.09 eV per atom

Cell lengths 5.542, 5.542, 5.542 Å; angles 60.00, 60.00, 60.00 degrees
Site moments in Bohr magnetons follow the coordinates.
Fractional coordinates of all 6 atoms:
1 Al 0.626 0.123 0.626  0.03
2 Al 0.123 0.626 0.626  0.03
3 Al 0.626 0.626 0.626  0.03
4 Al 0.626 0.626 0.123  0.03
5 Pu 0.000 0.000 0.000  5.49
6 Sb 0.250 0.250 0.250  0.06

=====

(7)
This record from Alexandria describes a relaxed structure of Ho6SbRu2. The functional is PBE.

Summary:
SG = Immm
DOS at the Fermi energy = 6.979 states/eV/f.u.
Spin magnetization = 0.0 Bohr magnetons per cell
Raw formation energy = -0.50 eV per atom

Cell lengths 8.453, 8.453, 8.453 Å; angles 104.39, 112.71, 111.43 degrees
Fractional coordinates of all 18 atoms:
1 Ru 0.672 0.672 0.000
2 Ru 0.500 0.129 0.629
3 Ru 0.328 0.328 0.000
4 Ru 0.500 0.871 0.371
5 Sb 0.000 0.000 0.000
6 Sb 0.000 0.500 0.500
7 Ho 0.686 0.331 0.018
8 Ho 0.314 0.331 0.645
9 Ho 0.895 0.181 0.715
10 Ho 0.534 0.819 0.715
11 Ho 0.208 0.447 0.239
12 Ho 0.314 0.669 0.982
13 Ho 0.105 0.819 0.285
14 Ho 0.208 0.968 0.761
15 Ho 0.466 0.181 0.285
16 Ho 0.792 0.553 0.761
17 Ho 0.686 0.669 0.355
18 Ho 0.792 0.032 0.239

=====

(8)
This record from Alexandria describes a relaxed structure of DyHoHgAu. The functional is PBE.

Summary:
Energy above the most stable polymorph in this dataset = 0.049 eV/f.u.
SG = F-43m
DOS at the Fermi energy = 3.507 states/eV/f.u.
Spin magnetization = 0.0 Bohr magnetons per cell
Calculated formation energy = -662.8 meV per atom

Cell lengths 5.165, 5.165, 5.165 Å; angles 60.00, 60.00, 60.00 degrees
Fractional coordinates of all 4 atoms:
1 Ho 0.750 0.750 0.750
2 Au 0.000 0.000 0.000
3 Dy 0.250 0.250 0.250
4 Hg 0.500 0.500 0.500

=====

In the order shown, the computed uncorrected energy values come out to -7.42, -3.89, -4.97, -3.40, -4.72, -5.66, -6.07, -3.85 eV per atom.